Entry 1:
Computed, not measured: a geometry-optimized MnIrPb structure at the GGA-PBE level of DFT.

Cell lengths 4.5652, 4.5652, 3.0566 Å; angles 90.00, 90.00, 120.00 degrees
Sites, in units of the cell vectors:
Mn1 0.0000 0.0000 0.0000
Ir1 0.6667 0.3333 0.5990
Pb1 0.3333 0.6667 0.4321

Space group: P3m1 (156)
Formation enthalpy at 0 K in kJ/mol of formula units: 124

=====

Entry 2:
Computed, not measured: a geometry-optimized Dy4CdHg structure at the GGA-PBE level of DFT.

Cell lengths 5.1127, 5.1127, 8.8770 Å; angles 106.79, 106.79, 59.95 degrees
Sites, in units of the cell vectors:
Dy1 0.1240 0.1240 0.3715
Dy2 0.3743 0.3743 0.1225
Dy3 0.6257 0.6257 0.8775
Dy4 0.8760 0.8760 0.6285
Cd1 0.5000 0.5000 0.5000
Hg1 0.0000 0.0000 0.0000

Space group: C2/m (12)
Formation enthalpy at 0 K in kJ/mol of formula units: -4

=====

Entry 3:
Computed, not measured: a geometry-optimized CaLa2HoAs4 structure at the GGA-PBE level of DFT.

Cell lengths 7.3210, 4.2989, 7.4784 Å; angles 90.00, 109.75, 90.00 degrees
Sites, in units of the cell vectors:
Ca1 0.0000 0.0000 0.0000
La1 0.5000 0.0000 0.5000
La2 0.5000 0.5000 0.0000
Ho1 0.0000 0.5000 0.5000
As1 0.2385 0.0000 0.7406
As2 0.2429 0.5000 0.2541
As3 0.7571 0.5000 0.7459
As4 0.7615 0.0000 0.2594

Space group: P2/m (10)
Formation enthalpy at 0 K in kJ/mol of formula units: -1055

=====

Entry 4:
Computed, not measured: a geometry-optimized AlSi2Ru structure at the GGA-PBE level of DFT.

Cell lengths 4.4013, 4.4013, 3.0035 Å; angles 90.00, 90.00, 109.76 degrees
Sites, in units of the cell vectors:
Al1 0.0000 0.0000 0.0000
Si1 0.0000 0.5000 0.5000
Si2 0.5000 0.0000 0.5000
Ru1 0.5000 0.5000 0.0000

Space group: Cmmm (65)
ΔE_f (raw) in eV per atom: -0.12

=====

Entry 5:
Computed, not measured: a geometry-optimized LiSc2Tl2 structure at the GGA-PBE level of DFT.

Cell lengths 5.8716, 5.8716, 5.8716 Å; angles 140.93, 112.07, 81.26 degrees
Sites, in units of the cell vectors:
Li1 0.0000 0.0000 0.0000
Sc1 0.2861 0.7861 0.5000
Sc2 0.7139 0.2139 0.5000
Tl1 0.2703 0.5000 0.7703
Tl2 0.7297 0.5000 0.2297

Space group: Immm (71)
Formation enthalpy at 0 K in kJ/mol of formula units: -68

=====

Entry 6:
Computed, not measured: a geometry-optimized BaZrSe4 structure at the GGA-PBE level of DFT.

Cell lengths 4.6211, 4.6211, 8.1257 Å; angles 90.00, 90.00, 90.00 degrees
Sites, in units of the cell vectors:
Ba1 0.0000 0.0000 0.0000
Zr1 0.5000 0.5000 0.5000
Se1 0.0000 0.5000 0.2948
Se2 0.0000 0.5000 0.7052
Se3 0.5000 0.0000 0.2948
Se4 0.5000 0.0000 0.7052

Space group: P4/mmm (123)
ΔE_f (raw) in eV per atom: -1.08

=====

Entry 7:
Computed, not measured: a geometry-optimized Dy8AsSe3S4 structure at the GGA-PBE level of DFT.

Cell lengths 8.0223, 8.0223, 8.0223 Å; angles 59.62, 59.62, 59.62 degrees
Sites, in units of the cell vectors:
Dy1 0.2346 0.7480 0.7480
Dy2 0.2409 0.2409 0.2409
Dy3 0.2520 0.2520 0.7654
Dy4 0.2520 0.7654 0.2520
Dy5 0.7480 0.2346 0.7480
Dy6 0.7480 0.7480 0.2346
Dy7 0.7591 0.7591 0.7591
Dy8 0.7654 0.2520 0.2520
As1 0.0000 0.0000 0.0000
Se1 0.0000 0.5000 0.5000
Se2 0.5000 0.0000 0.5000
Se3 0.5000 0.5000 0.0000
S1 0.0000 0.0000 0.5000
S2 0.0000 0.5000 0.0000
S3 0.5000 0.0000 0.0000
S4 0.5000 0.5000 0.5000

Space group: R-3m (166)
ΔE_f (raw) in eV per atom: -1.87

=====

Entry 8:
Computed, not measured: a geometry-optimized NdTc2O6 structure at the GGA-PBE level of DFT.

Cell lengths 5.2771, 5.2771, 5.0844 Å; angles 90.00, 90.00, 120.00 degrees
Sites, in units of the cell vectors:
Nd1 0.0000 0.0000 0.0000
Tc1 0.3333 0.6667 0.5000
Tc2 0.6667 0.3333 0.5000
O1 0.0000 0.3648 0.7159
O2 0.0000 0.6352 0.2841
O3 0.3648 0.0000 0.7159
O4 0.3648 0.3648 0.2841
O5 0.6352 0.0000 0.2841
O6 0.6352 0.6352 0.7159

Space group: P-31m (162)
ΔE_f (raw) in eV per atom: -1.89

=====

Entry 9:
Computed, not measured: a geometry-optimized Zn3PPd structure at the GGA-PBE level of DFT.

Cell lengths 4.7346, 4.7346, 4.7346 Å; angles 90.00, 90.00, 90.00 degrees
Sites, in units of the cell vectors:
Zn1 0.0000 0.0000 0.5000
Zn2 0.0000 0.5000 0.0000
Zn3 0.5000 0.0000 0.0000
P1 0.5000 0.5000 0.5000
Pd1 0.0000 0.0000 0.0000

Space group: Pm-3m (221)
Formation enthalpy at 0 K in kJ/mol of formula units: 229

=====

Entry 10:
Computed, not measured: a geometry-optimized NaFe2PN structure at the GGA-PBE level of DFT.

Cell lengths 3.7127, 3.7127, 4.3634 Å; angles 90.00, 90.00, 90.00 degrees
Sites, in units of the cell vectors:
Na1 0.0000 0.0000 0.0000
Fe1 0.0000 0.5000 0.5000
Fe2 0.5000 0.0000 0.5000
P1 0.5000 0.5000 0.0000
N1 0.0000 0.0000 0.5000

Space group: P4/mmm (123)
ΔE_f (raw) in eV per atom: 0.28

=====

Size of the total moment across the listed records, respectively: 3.94; 0.00; 0.00; 0.00; 0.00; 0.00; 0.00; 5.00; 0.00; 0.00 μB/cell.
V across the listed records, respectively: 55.17; 189.36; 221.51; 54.76; 114.82; 173.52; 361.91; 122.62; 106.13; 60.14 Å³/f.u..
DOS(E_F) across the listed records, respectively: 1.9; 8.1; 6.1; 1.5; 4.1; 2.3; 5.2; 7.5; 3.1; 4.5 states/eV/f.u..